# Na2AlAs2, relaxed, DFT PBE
# Excess energy over the best structure of this formula in the dataset in eV per formula unit: 0.53
# E_form in eV/atom: -0.273
data_Na2AlAs2
_chemical_formula_sum 'Na4 Al2 As4'
_cell_length_a 6.849
_cell_length_b 6.849
_cell_length_c 4.804
_cell_angle_alpha 90.00
_cell_angle_beta 90.00
_cell_angle_gamma 90.00
_symmetry_space_group_name_H-M 'P 4/m b m'
_symmetry_Int_Tables_number 127
_symmetry_space_group_name_Hall '-P 4 2ab'
loop_
_atom_site_label
_atom_site_type_symbol
_atom_site_fract_x
_atom_site_fract_y
_atom_site_fract_z
Na1 Na 0.168 0.332 0.000
Al1 Al 0.000 0.000 0.500
As1 As 0.141 0.641 0.500